Version one
Density functional theory data (meta-GGA SCAN) for La2CdBr at its PBEsol-relaxed geometry.

Geometry as CIF:
```
data_La2CdBr
_cell_length_a 3.562
_cell_length_b 3.562
_cell_length_c 8.499
_cell_angle_alpha 90.00
_cell_angle_beta 90.00
_cell_angle_gamma 90.00
_space_group_name_H-M_alt 'P 4/m m m'
_space_group_IT_number 123
_space_group_name_Hall '-P 4 2'
loop_
_atom_site_label
_atom_site_fract_x
_atom_site_fract_y
_atom_site_fract_z
_atom_site_occupancy
La1 0.000 0.000 0.247 1
Cd1 0.500 0.500 0.500 1
Br1 0.500 0.500 0.000 1
```


Version two
Density functional theory data (meta-GGA SCAN) for La2CdBr at its PBEsol-relaxed geometry.

Geometry as CIF:
```
data_La2CdBr
_cell_length_a 4.031
_cell_length_b 4.736
_cell_length_c 6.256
_cell_angle_alpha 90.00
_cell_angle_beta 90.00
_cell_angle_gamma 90.00
_space_group_name_H-M_alt 'P m m m'
_space_group_IT_number 47
loop_
_space_group_symop_operation_xyz
'x,y,z'
'-x,-y,-z'
'-x,-y,z'
'x,y,-z'
'x,-y,-z'
'-x,y,z'
'-x,y,-z'
'x,-y,z'
loop_
_atom_site_label
_atom_site_fract_x
_atom_site_fract_y
_atom_site_fract_z
_atom_site_occupancy
La1 0.000 0.000 0.000 1
La2 0.500 0.500 0.500 1
Cd1 0.000 0.000 0.500 1
Br1 0.500 0.500 0.000 1
```


It is version one that is the least stable of them.


Version one
Density functional theory data (meta-GGA SCAN) for La2CdBr at its PBEsol-relaxed geometry.

Geometry as CIF:
```
data_La2CdBr
_cell_length_a 4.934
_cell_length_b 5.718
_cell_length_c 7.960
_cell_angle_alpha 90.00
_cell_angle_beta 90.00
_cell_angle_gamma 90.00
_space_group_name_H-M_alt 'I m m m'
_space_group_IT_number 71
_space_group_name_Hall '-I 2 2'
loop_
_atom_site_label
_atom_site_fract_x
_atom_site_fract_y
_atom_site_fract_z
_atom_site_occupancy
La1 0.000 0.000 0.238 1
Cd1 0.000 0.500 0.000 1
Br1 0.000 0.500 0.500 1
```


Version two
Density functional theory data (meta-GGA SCAN) for La2CdBr at its PBEsol-relaxed geometry.

Geometry as CIF:
```
data_La2CdBr
_cell_length_a 7.586
_cell_length_b 7.586
_cell_length_c 7.586
_cell_angle_alpha 90.00
_cell_angle_beta 90.00
_cell_angle_gamma 90.00
_space_group_name_H-M_alt 'F -4 3 m'
_space_group_IT_number 216
_space_group_name_Hall 'F -4 2 3'
loop_
_atom_site_label
_atom_site_fract_x
_atom_site_fract_y
_atom_site_fract_z
_atom_site_occupancy
La1 0.000 0.000 0.000 1
La2 0.250 0.250 0.250 1
Cd1 0.000 0.000 0.500 1
Br1 0.250 0.250 0.750 1
```


It is version two that is the least stable of them.


Version one
Density functional theory data (meta-GGA SCAN) for LaCdBr2 at its PBEsol-relaxed geometry.

Geometry as CIF:
```
data_LaCdBr2
_cell_length_a 3.953
_cell_length_b 5.748
_cell_length_c 10.479
_cell_angle_alpha 90.00
_cell_angle_beta 90.00
_cell_angle_gamma 90.00
_space_group_name_H-M_alt 'I m m m'
_space_group_IT_number 71
_space_group_name_Hall '-I 2 2'
loop_
_atom_site_label
_atom_site_fract_x
_atom_site_fract_y
_atom_site_fract_z
_atom_site_occupancy
La1 0.000 0.000 0.000 1
Cd1 0.000 0.000 0.500 1
Br1 0.000 0.500 0.290 1
```


Version two
Density functional theory data (meta-GGA SCAN) for LaCdBr2 at its PBEsol-relaxed geometry.

Geometry as CIF:
```
data_LaCdBr2
_cell_length_a 3.643
_cell_length_b 3.643
_cell_length_c 8.955
_cell_angle_alpha 90.00
_cell_angle_beta 90.00
_cell_angle_gamma 90.00
_space_group_name_H-M_alt 'P 4/m m m'
_space_group_IT_number 123
_space_group_name_Hall '-P 4 2'
loop_
_atom_site_label
_atom_site_fract_x
_atom_site_fract_y
_atom_site_fract_z
_atom_site_occupancy
La1 0.000 0.000 0.000 1
Cd1 0.000 0.000 0.500 1
Br1 0.500 0.500 0.192 1
```


It is version one that is the least stable of them.